First-principles (PBEsol) data for a relaxed structure of KSc2, as listed in Alexandria via LeMat-Bulk.

Summary:
energy: -4.008 eV/atom
volume: 91.3 Å³ per cell
formation energy from the elements: 0.773 eV per atom

Lattice parameters (Å, degrees): 5.8617 5.8617 3.0699 90.00 90.00 120.00
Space group P6/mmm (No. 191)
Unique sites:
K: 0.0000 0.0000 0.0000 (multiplicity 1)
Sc: 0.3333 0.6667 0.5000 (multiplicity 2)



First-principles (PBEsol) data for a relaxed structure of K2Sc, as listed in Alexandria via LeMat-Bulk.

Summary:
energy: -2.163 eV/atom
volume: 169.1 Å³ per cell
formation energy from the elements: 0.795 eV per atom

Lattice parameters (Å, degrees): 6.9491 6.9491 3.5016 90.00 90.00 90.00
Space group P4/mmm (No. 123)
Unique sites:
K: 0.0000 0.5000 0.0000 (multiplicity 2)
Sc: 0.0000 0.0000 0.5000 (multiplicity 1)



First-principles (PBEsol) data for a relaxed structure of K3Sc, as listed in Alexandria via LeMat-Bulk.

Summary:
energy: -1.518 eV/atom
volume: 421.2 Å³ per cell
ΔE to the lowest computed polymorph: 2.02 eV per formula unit
formation energy from the elements: 0.983 eV per atom

Lattice parameters (Å, degrees): 7.4960 7.4960 7.4960 90.00 90.00 90.00
Space group Pm-3m (No. 221)
Unique sites:
K: 0.0000 0.0000 0.5000 (multiplicity 3)
Sc: 0.0000 0.0000 0.0000 (multiplicity 1)



First-principles (PBEsol) data for a relaxed structure of K3Sc, as listed in Alexandria via LeMat-Bulk.

Summary:
energy: -2.020 eV/atom
volume: 380.3 Å³ per cell
ΔE to the lowest computed polymorph: 0.01 eV per formula unit
formation energy from the elements: 0.482 eV per atom

Lattice parameters (Å, degrees): 4.1516 6.3457 14.4362 90.00 90.00 90.00
Space group Cmmm (No. 65)
Unique sites:
K: 0.0000 0.0000 0.0000 (multiplicity 2)
K: 0.0000 0.5000 0.2792 (multiplicity 4)
Sc: 0.0000 0.0000 0.5000 (multiplicity 2)



First-principles (PBEsol) data for a relaxed structure of KSc3, as listed in Alexandria via LeMat-Bulk.

Summary:
energy: -4.610 eV/atom
volume: 222.9 Å³ per cell
formation energy from the elements: 0.628 eV per atom

Lattice parameters (Å, degrees): 6.8289 10.1563 3.2141 90.00 90.00 90.00
Space group Cmmm (No. 65)
Unique sites:
K: 0.0000 0.0000 0.0000 (multiplicity 2)
Sc: 0.0000 0.5000 0.0000 (multiplicity 2)
Sc: 0.2500 0.2500 0.5000 (multiplicity 4)



First-principles (PBEsol) data for a relaxed structure of KSc, as listed in Alexandria via LeMat-Bulk.

Summary:
energy: -3.438 eV/atom
volume: 144.6 Å³ per cell
formation energy from the elements: 0.431 eV per atom

Lattice parameters (Å, degrees): 3.5506 3.5506 13.2430 90.00 90.00 120.00
Space group P-3m1 (No. 164)
Unique sites:
K: 0.3333 0.6667 0.1559 (multiplicity 2)
Sc: 0.3333 0.6667 0.5889 (multiplicity 2)



First-principles (PBEsol) data for a relaxed structure of KSc3, as listed in Alexandria via LeMat-Bulk.

Summary:
energy: -4.516 eV/atom
volume: 445.5 Å³ per cell
formation energy from the elements: 0.721 eV per atom

Lattice parameters (Å, degrees): 7.6377 7.6377 7.6377 90.00 90.00 90.00
Space group Fm-3m (No. 225)
Unique sites:
K: 0.0000 0.0000 0.0000 (multiplicity 4)
Sc: 0.0000 0.0000 0.5000 (multiplicity 4)
Sc: 0.2500 0.2500 0.2500 (multiplicity 8)



First-principles (PBEsol) data for a relaxed structure of KSc, as listed in Alexandria via LeMat-Bulk.

Summary:
energy: -3.327 eV/atom
volume: 169.2 Å³ per cell
formation energy from the elements: 0.542 eV per atom

Lattice parameters (Å, degrees): 3.4385 4.7555 10.3453 90.00 90.00 90.00
Space group Pmmn (No. 59, origin choice 2)
Unique sites:
K: 0.2500 0.2500 0.1824 (multiplicity 2)
Sc: 0.2500 0.7500 0.4611 (multiplicity 2)



First-principles (PBEsol) data for a relaxed structure of K2ScSe, as listed in Alexandria via LeMat-Bulk.

Summary:
ΔE_f (raw): -0.32 eV/f.u.
energy: -3.260 eV/atom
volume: 225.5 Å³ per cell

Lattice parameters (Å, degrees): 4.3316 4.3316 12.0192 90.00 90.00 90.00
Space group I4/mmm (No. 139)
Unique sites:
K: 0.0000 0.5000 0.2500 (multiplicity 4)
Sc: 0.0000 0.0000 0.0000 (multiplicity 2)
Se: 0.0000 0.0000 0.5000 (multiplicity 2)



First-principles (PBEsol) data for a relaxed structure of KScSe2, as listed in Alexandria via LeMat-Bulk.

Summary:
ΔE_f (raw): -1.42 eV/f.u.
energy: -4.215 eV/atom
volume: 354.5 Å³ per cell

Lattice parameters (Å, degrees): 7.0771 7.0771 7.0771 90.00 90.00 90.00
Space group F-43m (No. 216)
Unique sites:
K: 0.0000 0.0000 0.0000 (multiplicity 4)
Sc: 0.2500 0.2500 0.7500 (multiplicity 4)
Se: 0.0000 0.0000 0.5000 (multiplicity 4)
Se: 0.2500 0.2500 0.2500 (multiplicity 4)



First-principles (PBEsol) data for a relaxed structure of KScSe2, as listed in Alexandria via LeMat-Bulk.

Summary:
ΔE_f (raw): -5.21 eV/f.u.
energy: -5.161 eV/atom
volume: 116.3 Å³ per cell

Lattice parameters (Å, degrees): 3.8569 3.8569 7.8150 90.00 90.00 90.00
Space group P4mm (No. 99)
Unique sites:
K: 0.0000 0.0000 0.0000 (multiplicity 1)
Sc: 0.5000 0.5000 0.5156 (multiplicity 1)
Se: 0.0000 0.0000 0.4289 (multiplicity 1)
Se: 0.5000 0.5000 0.8182 (multiplicity 1)



First-principles (PBEsol) data for a relaxed structure of KSc3Se, as listed in Alexandria via LeMat-Bulk.

Summary:
ΔE_f (raw): 6.36 eV/f.u.
energy: -3.687 eV/atom
volume: 113.0 Å³ per cell

Lattice parameters (Å, degrees): 4.8345 4.8345 4.8345 90.00 90.00 90.00
Space group Pm-3m (No. 221)
Unique sites:
K: 0.0000 0.0000 0.0000 (multiplicity 1)
Sc: 0.0000 0.0000 0.5000 (multiplicity 3)
Se: 0.5000 0.5000 0.5000 (multiplicity 1)



First-principles (PBEsol) data for a relaxed structure of KSc2Si, as listed in Alexandria via LeMat-Bulk.

Summary:
ΔE_f (raw): 0.44 eV/f.u.
energy: -4.911 eV/atom
volume: 213.8 Å³ per cell

Lattice parameters (Å, degrees): 3.1793 5.8170 11.5583 90.00 90.00 90.00
Space group Immm (No. 71)
Unique sites:
K: 0.0000 0.0000 0.0000 (multiplicity 2)
Sc: 0.0000 0.5000 0.1851 (multiplicity 4)
Si: 0.0000 0.0000 0.5000 (multiplicity 2)



First-principles (PBEsol) data for a relaxed structure of KSc2Si, as listed in Alexandria via LeMat-Bulk.

Summary:
ΔE_f (raw): 2.33 eV/f.u.
energy: -4.440 eV/atom
volume: 609.8 Å³ per cell

Lattice parameters (Å, degrees): 5.9169 5.9169 17.4188 90.00 90.00 90.00
Space group I4_1/amd (No. 141, origin choice 2)
Unique sites:
K: 0.0000 0.2500 0.3750 (multiplicity 4)
Sc: 0.0000 0.0000 0.0000 (multiplicity 8)
Si: 0.0000 0.2500 0.8750 (multiplicity 4)



First-principles (PBEsol) data for a relaxed structure of KSc2Si, as listed in Alexandria via LeMat-Bulk.

Summary:
ΔE_f (raw): 1.11 eV/f.u.
energy: -4.745 eV/atom
volume: 88.9 Å³ per cell

Lattice parameters (Å, degrees): 4.5908 4.5908 4.2172 90.00 90.00 90.00
Space group P4/mmm (No. 123)
Unique sites:
K: 0.0000 0.0000 0.0000 (multiplicity 1)
Sc: 0.0000 0.5000 0.5000 (multiplicity 2)
Si: 0.5000 0.5000 0.0000 (multiplicity 1)



First-principles (PBEsol) data for a relaxed structure of K4ScSi, as listed in Alexandria via LeMat-Bulk.

Summary:
ΔE_f (raw): 5.13 eV/f.u.
energy: -1.959 eV/atom
volume: 898.6 Å³ per cell

Lattice parameters (Å, degrees): 9.6499 9.6499 9.6499 90.00 90.00 90.00
Space group F-43m (No. 216)
Unique sites:
K: 0.1225 0.1225 0.3775 (multiplicity 16)
Sc: 0.0000 0.0000 0.0000 (multiplicity 4)
Si: 0.2500 0.2500 0.7500 (multiplicity 4)



First-principles (PBEsol) data for a relaxed structure of KSc2Si, as listed in Alexandria via LeMat-Bulk.

Summary:
ΔE_f (raw): 1.86 eV/f.u.
energy: -4.558 eV/atom
volume: 367.4 Å³ per cell

Lattice parameters (Å, degrees): 7.1620 7.1620 7.1620 90.00 90.00 90.00
Space group F-43m (No. 216)
Unique sites:
K: 0.0000 0.0000 0.0000 (multiplicity 4)
Sc: 0.0000 0.0000 0.5000 (multiplicity 4)
Sc: 0.2500 0.2500 0.2500 (multiplicity 4)
Si: 0.2500 0.2500 0.7500 (multiplicity 4)



First-principles (PBEsol) data for a relaxed structure of K2ScSi, as listed in Alexandria via LeMat-Bulk.

Summary:
ΔE_f (raw): -0.04 eV/f.u.
energy: -3.665 eV/atom
volume: 294.2 Å³ per cell

Lattice parameters (Å, degrees): 20.7905 3.6250 3.9761 90.00 101.01 90.00
Space group C2/m (No. 12)
Unique sites:
K: 0.1524 0.0000 0.1500 (multiplicity 4)
Sc: 0.0000 0.0000 0.5000 (multiplicity 2)
Si: 0.0000 0.5000 0.0000 (multiplicity 2)



First-principles (PBEsol) data for a relaxed structure of KSr2Sc, as listed in Alexandria via LeMat-Bulk.

Summary:
energy: -2.557 eV/atom
volume: 530.5 Å³ per cell
ΔE to the lowest computed polymorph: 0.13 eV per formula unit
formation energy from the elements: 0.298 eV per atom

Lattice parameters (Å, degrees): 3.9293 3.9293 39.6789 90.00 90.00 120.00
Space group R-3m (No. 166, hexagonal axes)
Unique sites:
K: 0.0000 0.0000 0.0000 (multiplicity 3)
Sr: 0.0000 0.0000 0.2371 (multiplicity 6)
Sc: 0.0000 0.0000 0.5000 (multiplicity 3)



First-principles (PBEsol) data for a relaxed structure of KSr2Sc, as listed in Alexandria via LeMat-Bulk.

Summary:
energy: -2.420 eV/atom
volume: 177.7 Å³ per cell
ΔE to the lowest computed polymorph: 0.68 eV per formula unit
formation energy from the elements: 0.435 eV per atom

Lattice parameters (Å, degrees): 3.8777 5.7412 7.9810 90.00 90.00 90.00
Space group Pmm2 (No. 25)
Unique sites:
K: 0.0000 0.0000 0.0000 (multiplicity 1)
Sr: 0.0000 0.0000 0.4604 (multiplicity 1)
Sr: 0.5000 0.5000 0.7277 (multiplicity 1)
Sc: 0.5000 0.5000 0.2657 (multiplicity 1)



First-principles (PBEsol) data for a relaxed structure of KSr2Sc, as listed in Alexandria via LeMat-Bulk.

Summary:
energy: -2.386 eV/atom
volume: 352.0 Å³ per cell
ΔE to the lowest computed polymorph: 0.81 eV per formula unit
formation energy from the elements: 0.469 eV per atom

Lattice parameters (Å, degrees): 5.4410 5.4410 11.8916 90.00 90.00 90.00
Space group I-4m2 (No. 119)
Unique sites:
K: 0.0000 0.0000 0.0000 (multiplicity 2)
Sr: 0.0000 0.0000 0.5000 (multiplicity 2)
Sr: 0.0000 0.5000 0.7500 (multiplicity 2)
Sc: 0.0000 0.5000 0.2500 (multiplicity 2)



First-principles (PBEsol) data for a relaxed structure of KSr2Sc, as listed in Alexandria via LeMat-Bulk.

Summary:
energy: -2.589 eV/atom
volume: 181.8 Å³ per cell
ΔE to the lowest computed polymorph: 0.00 eV per formula unit
formation energy from the elements: 0.266 eV per atom

Lattice parameters (Å, degrees): 4.0379 4.0379 11.1521 90.00 90.00 90.00
Space group P4/mmm (No. 123)
Unique sites:
K: 0.0000 0.0000 0.0000 (multiplicity 1)
Sr: 0.5000 0.5000 0.3053 (multiplicity 2)
Sc: 0.0000 0.0000 0.5000 (multiplicity 1)



First-principles (PBEsol) data for a relaxed structure of KSrSc3, as listed in Alexandria via LeMat-Bulk.

Summary:
energy: -3.479 eV/atom
volume: 145.9 Å³ per cell
formation energy from the elements: 1.079 eV per atom

Lattice parameters (Å, degrees): 5.2642 5.2642 5.2642 90.00 90.00 90.00
Space group Pm-3m (No. 221)
Unique sites:
K: 0.0000 0.0000 0.0000 (multiplicity 1)
Sr: 0.5000 0.5000 0.5000 (multiplicity 1)
Sc: 0.0000 0.0000 0.5000 (multiplicity 3)



First-principles (PBEsol) data for a relaxed structure of KSc2Ta, as listed in Alexandria via LeMat-Bulk.

Summary:
energy: -6.032 eV/atom
volume: 112.8 Å³ per cell
ΔE to the lowest computed polymorph: 0.48 eV per formula unit
formation energy from the elements: 0.692 eV per atom

Lattice parameters (Å, degrees): 3.1784 4.1041 8.6452 90.00 90.00 90.00
Space group Pmm2 (No. 25)
Unique sites:
K: 0.0000 0.0000 0.0000 (multiplicity 1)
Sc: 0.0000 0.0000 0.5558 (multiplicity 1)
Sc: 0.5000 0.5000 0.3596 (multiplicity 1)
Ta: 0.5000 0.5000 0.6909 (multiplicity 1)



First-principles (PBEsol) data for a relaxed structure of KSc2Ta, as listed in Alexandria via LeMat-Bulk.

Summary:
energy: -6.042 eV/atom
volume: 229.1 Å³ per cell
ΔE to the lowest computed polymorph: 0.43 eV per formula unit
formation energy from the elements: 0.681 eV per atom

Lattice parameters (Å, degrees): 10.0567 2.9583 7.7093 90.00 92.50 90.00
Space group Cm (No. 8)
Unique sites:
K: 0.0000 0.0000 0.0000 (multiplicity 2)
Sc: 0.2397 0.0000 0.6457 (multiplicity 2)
Sc: 0.4914 0.0000 0.4503 (multiplicity 2)
Ta: 0.2572 0.5000 0.3357 (multiplicity 2)



First-principles (PBEsol) data for a relaxed structure of KSc4Ta, as listed in Alexandria via LeMat-Bulk.

Summary:
energy: -5.769 eV/atom
volume: 596.1 Å³ per cell
formation energy from the elements: 0.915 eV per atom

Lattice parameters (Å, degrees): 8.4160 8.4160 8.4160 90.00 90.00 90.00
Space group F-43m (No. 216)
Unique sites:
K: 0.0000 0.0000 0.0000 (multiplicity 4)
Sc: 0.1201 0.1201 0.3799 (multiplicity 16)
Ta: 0.2500 0.2500 0.7500 (multiplicity 4)



First-principles (PBEsol) data for a relaxed structure of KSc2Ta, as listed in Alexandria via LeMat-Bulk.

Summary:
energy: -6.150 eV/atom
volume: 102.0 Å³ per cell
ΔE to the lowest computed polymorph: 0.00 eV per formula unit
formation energy from the elements: 0.573 eV per atom

Lattice parameters (Å, degrees): 2.9958 2.9958 11.3599 90.00 90.00 90.00
Space group P4mm (No. 99)
Unique sites:
K: 0.0000 0.0000 0.0000 (multiplicity 1)
Sc: 0.0000 0.0000 0.5369 (multiplicity 1)
Sc: 0.5000 0.5000 0.3055 (multiplicity 1)
Ta: 0.5000 0.5000 0.7162 (multiplicity 1)



First-principles (PBEsol) data for a relaxed structure of KSc2Ta, as listed in Alexandria via LeMat-Bulk.

Summary:
energy: -6.041 eV/atom
volume: 219.3 Å³ per cell
ΔE to the lowest computed polymorph: 0.44 eV per formula unit
formation energy from the elements: 0.682 eV per atom

Lattice parameters (Å, degrees): 9.3489 2.9876 7.8747 90.00 94.25 90.00
Space group C2/m (No. 12)
Unique sites:
K: 0.0000 0.0000 0.0000 (multiplicity 2)
Sc: 0.2320 0.0000 0.6685 (multiplicity 4)
Ta: 0.0000 0.5000 0.5000 (multiplicity 2)



First-principles (PBEsol) data for a relaxed structure of KScTc2, as listed in Alexandria via LeMat-Bulk.

Summary:
energy: -6.896 eV/atom
volume: 157.4 Å³ per cell
ΔE to the lowest computed polymorph: 0.36 eV per formula unit
formation energy from the elements: 0.671 eV per atom

Lattice parameters (Å, degrees): 3.1760 4.7062 10.5299 90.00 90.00 90.00
Space group Cmm2 (No. 35)
Unique sites:
K: 0.0000 0.0000 0.0000 (multiplicity 2)
Sc: 0.0000 0.5000 0.3360 (multiplicity 2)
Tc: 0.0000 0.0000 0.5409 (multiplicity 2)
Tc: 0.0000 0.5000 0.7245 (multiplicity 2)



First-principles (PBEsol) data for a relaxed structure of KSc2Tc, as listed in Alexandria via LeMat-Bulk.

Summary:
energy: -5.967 eV/atom
volume: 233.9 Å³ per cell
formation energy from the elements: 0.436 eV per atom

Lattice parameters (Å, degrees): 3.2350 4.2444 17.0354 90.00 90.00 90.00
Space group Imm2 (No. 44)
Unique sites:
K: 0.0000 0.0000 0.0000 (multiplicity 2)
Sc: 0.0000 0.0000 0.6913 (multiplicity 2)
Sc: 0.0000 0.5000 0.8255 (multiplicity 2)
Tc: 0.0000 0.5000 0.3068 (multiplicity 2)